Here is crystalline Co3GeS at its relaxed geometry from Alexandria via LeMat-Bulk. Energies are from PBE-GGA.

Results
SG: Pm-3m, No. 221
Final energy in eV per atom: -5.7338
Formation energy from raw total energies in meV/atom: 279
Excess energy over the best structure of this formula in the dataset in eV/f.u.: 0.00

Cell: 4.144 4.144 4.144 Å, 90.00 90.00 90.00°
Positions (direct):
Co  0.000  0.500  0.000
Co  0.500  0.000  0.000
S  0.000  0.000  0.000
Ge  0.500  0.500  0.500
Co  0.000  0.000  0.500

Here is crystalline Te2PtRh at its relaxed geometry from Alexandria via LeMat-Bulk. Energies are from PBE-GGA.

Results
SG: R-3m, No. 166
Final energy in eV per atom: -4.9271
Formation energy from raw total energies in meV/atom: -8
Excess energy over the best structure of this formula in the dataset in eV/f.u.: 0.99

Cell: 8.294 8.294 8.294 Å, 26.62 26.62 26.62°
Positions (direct):
Pt  0.000  0.000  0.000
Rh  0.500  0.500  0.500
Te  0.895  0.895  0.895
Te  0.105  0.105  0.105

Here is crystalline Cu2SiH2 at its relaxed geometry from Alexandria via LeMat-Bulk. Energies are from PBE-GGA.

Results
SG: I4/mmm, No. 139
Final energy in eV per atom: -3.7260

Cell: 2.811 2.811 6.162 Å, 76.81 76.81 90.00°
Positions (direct):
Si  0.000  0.000  0.000
H  0.750  0.250  0.500
Cu  0.349  0.349  0.302
Cu  0.651  0.651  0.698
H  0.250  0.750  0.500